1.
A plane-wave DFT calculation with GGA-PBE was carried out for a relaxed structure of LaZrAu2.

```
data_LaZrAu2
_cell_length_a 5.099
_cell_length_b 5.099
_cell_length_c 3.600
_cell_angle_alpha 90.00
_cell_angle_beta 90.00
_cell_angle_gamma 90.00
_space_group_name_H-M_alt 'P 4/m m m'
_space_group_IT_number 123
_space_group_name_Hall '-P 4 2'
loop_
_atom_site_label
_atom_site_type_symbol
_atom_site_fract_x
_atom_site_fract_y
_atom_site_fract_z
_atom_site_occupancy
La1 La 0.000 0.000 0.000 1
Zr1 Zr 0.500 0.500 0.000 1
Au1 Au 0.000 0.500 0.500 1
```

2.
A plane-wave DFT calculation with GGA-PBE was carried out for a relaxed structure of La3ZrAu.

```
data_La3ZrAu
_cell_length_a 5.642
_cell_length_b 5.642
_cell_length_c 5.642
_cell_angle_alpha 90.00
_cell_angle_beta 90.00
_cell_angle_gamma 90.00
_space_group_name_H-M_alt 'P m -3 m'
_space_group_IT_number 221
_space_group_name_Hall '-P 4 2 3'
loop_
_atom_site_label
_atom_site_type_symbol
_atom_site_fract_x
_atom_site_fract_y
_atom_site_fract_z
_atom_site_occupancy
La1 La 0.000 0.000 0.500 1
Zr1 Zr 0.000 0.000 0.000 1
Au1 Au 0.500 0.500 0.500 1
```

Output
- E above lowest polymorph: 93 meV/atom

3.
A plane-wave DFT calculation with GGA-PBE was carried out for a relaxed structure of LaZrAu.

```
data_LaZrAu
_cell_length_a 16.993
_cell_length_b 4.932
_cell_length_c 3.599
_cell_angle_alpha 90.00
_cell_angle_beta 90.16
_cell_angle_gamma 90.00
_space_group_name_H-M_alt 'C 1 2/m 1'
_space_group_IT_number 12
_space_group_name_Hall '-C 2y'
loop_
_atom_site_label
_atom_site_type_symbol
_atom_site_fract_x
_atom_site_fract_y
_atom_site_fract_z
_atom_site_occupancy
La1 La 0.179 0.000 0.003 1
Zr1 Zr 0.000 0.000 0.500 1
Zr2 Zr 0.000 0.500 0.000 1
Au1 Au 0.134 0.500 0.502 1
```

4.
A plane-wave DFT calculation with GGA-PBE was carried out for a relaxed structure of LaZrAu.

```
data_LaZrAu
_cell_length_a 6.825
_cell_length_b 6.825
_cell_length_c 6.825
_cell_angle_alpha 90.00
_cell_angle_beta 90.00
_cell_angle_gamma 90.00
_space_group_name_H-M_alt 'F -4 3 m'
_space_group_IT_number 216
_space_group_name_Hall 'F -4 2 3'
loop_
_atom_site_label
_atom_site_type_symbol
_atom_site_fract_x
_atom_site_fract_y
_atom_site_fract_z
_atom_site_occupancy
La1 La 0.000 0.000 0.000 1
Zr1 Zr 0.250 0.250 0.750 1
Au1 Au 0.000 0.000 0.500 1
```

5.
A plane-wave DFT calculation with GGA-PBE was carried out for a relaxed structure of LaZrAu2.

```
data_LaZrAu2
_cell_length_a 3.508
_cell_length_b 3.508
_cell_length_c 7.570
_cell_angle_alpha 90.00
_cell_angle_beta 90.00
_cell_angle_gamma 90.00
_space_group_name_H-M_alt 'P 4/m m m'
_space_group_IT_number 123
_space_group_name_Hall '-P 4 2'
loop_
_atom_site_label
_atom_site_type_symbol
_atom_site_fract_x
_atom_site_fract_y
_atom_site_fract_z
_atom_site_occupancy
La1 La 0.000 0.000 0.000 1
Zr1 Zr 0.000 0.000 0.500 1
Au1 Au 0.500 0.500 0.291 1
```

6.
A plane-wave DFT calculation with GGA-PBE was carried out for a relaxed structure of LaZrAu2.

```
data_LaZrAu2
_cell_length_a 7.709
_cell_length_b 7.709
_cell_length_c 7.259
_cell_angle_alpha 90.00
_cell_angle_beta 90.00
_cell_angle_gamma 90.00
_space_group_name_H-M_alt 'I -4 2 d'
_space_group_IT_number 122
_space_group_name_Hall 'I -4 2bw'
loop_
_atom_site_label
_atom_site_type_symbol
_atom_site_fract_x
_atom_site_fract_y
_atom_site_fract_z
_atom_site_occupancy
La1 La 0.000 0.000 0.000 1
Zr1 Zr 0.000 0.000 0.500 1
Au1 Au 0.217 0.250 0.625 1
```

7.
A plane-wave DFT calculation with GGA-PBE was carried out for a relaxed structure of LaZrAu.

```
data_LaZrAu
_cell_length_a 4.8783
_cell_length_b 4.8783
_cell_length_c 11.7029
_cell_angle_alpha 90.00
_cell_angle_beta 90.00
_cell_angle_gamma 120.00
_space_group_name_H-M_alt 'P 63/m m c'
_space_group_IT_number 194
_space_group_name_Hall '-P 6c 2c'
loop_
_atom_site_label
_atom_site_type_symbol
_atom_site_fract_x
_atom_site_fract_y
_atom_site_fract_z
_atom_site_occupancy
La1 La 0.0000 0.0000 0.2500 1
Zr1 Zr 0.0000 0.0000 0.0000 1
Au1 Au 0.3333 0.6667 0.2500 1
```

8.
A plane-wave DFT calculation with GGA-PBE was carried out for a relaxed structure of LaZrAu.

```
data_LaZrAu
_cell_length_a 5.191
_cell_length_b 10.206
_cell_length_c 5.596
_cell_angle_alpha 90.00
_cell_angle_beta 90.00
_cell_angle_gamma 90.00
_space_group_name_H-M_alt 'A m m 2'
_space_group_IT_number 38
_space_group_name_Hall 'A 2 -2'
loop_
_atom_site_label
_atom_site_type_symbol
_atom_site_fract_x
_atom_site_fract_y
_atom_site_fract_z
_atom_site_occupancy
La1 La 0.000 0.000 0.000 1
La2 La 0.500 0.000 0.384 1
Zr1 Zr 0.500 0.195 0.820 1
Au1 Au 0.000 0.184 0.531 1
```

9.
A plane-wave DFT calculation with GGA-PBE was carried out for a relaxed structure of LaZr3Au.

```
data_LaZr3Au
_cell_length_a 5.089
_cell_length_b 5.089
_cell_length_c 5.089
_cell_angle_alpha 90.00
_cell_angle_beta 90.00
_cell_angle_gamma 90.00
_space_group_name_H-M_alt 'P m -3 m'
_space_group_IT_number 221
_space_group_name_Hall '-P 4 2 3'
loop_
_atom_site_label
_atom_site_type_symbol
_atom_site_fract_x
_atom_site_fract_y
_atom_site_fract_z
_atom_site_occupancy
La1 La 0.000 0.000 0.000 1
Zr1 Zr 0.000 0.000 0.500 1
Au1 Au 0.500 0.500 0.500 1
```

Output
- E above lowest polymorph: 847 meV/atom

10.
A plane-wave DFT calculation with GGA-PBE was carried out for a relaxed structure of LaZrAu.

```
data_LaZrAu
_cell_length_a 7.174
_cell_length_b 3.493
_cell_length_c 11.905
_cell_angle_alpha 90.00
_cell_angle_beta 90.00
_cell_angle_gamma 90.00
_space_group_name_H-M_alt 'P n m a'
_space_group_IT_number 62
_space_group_name_Hall '-P 2ac 2n'
loop_
_atom_site_label
_atom_site_type_symbol
_atom_site_fract_x
_atom_site_fract_y
_atom_site_fract_z
_atom_site_occupancy
La1 La 0.141 0.250 0.090 1
Zr1 Zr 0.089 0.250 0.398 1
Au1 Au 0.147 0.250 0.777 1
```

11.
A plane-wave DFT calculation with GGA-PBE was carried out for a relaxed structure of LaZrAu.

```
data_LaZrAu
_cell_length_a 6.897
_cell_length_b 6.897
_cell_length_c 6.897
_cell_angle_alpha 90.00
_cell_angle_beta 90.00
_cell_angle_gamma 90.00
_space_group_name_H-M_alt 'F -4 3 m'
_space_group_IT_number 216
_space_group_name_Hall 'F -4 2 3'
loop_
_atom_site_label
_atom_site_type_symbol
_atom_site_fract_x
_atom_site_fract_y
_atom_site_fract_z
_atom_site_occupancy
La1 La 0.000 0.000 0.000 1
Zr1 Zr 0.250 0.250 0.750 1
Au1 Au 0.250 0.250 0.250 1
```

12.
A plane-wave DFT calculation with GGA-PBE was carried out for a relaxed structure of LaZrAu.

```
data_LaZrAu
_cell_length_a 8.206
_cell_length_b 4.751
_cell_length_c 8.018
_cell_angle_alpha 90.00
_cell_angle_beta 90.00
_cell_angle_gamma 90.00
_space_group_name_H-M_alt 'P n m a'
_space_group_IT_number 62
_space_group_name_Hall '-P 2ac 2n'
loop_
_atom_site_label
_atom_site_type_symbol
_atom_site_fract_x
_atom_site_fract_y
_atom_site_fract_z
_atom_site_occupancy
La1 La 0.022 0.250 0.160 1
Zr1 Zr 0.143 0.250 0.572 1
Au1 Au 0.200 0.750 0.387 1
```

no.,electronic total energy (eV per atom),DFT formation energy (eV/atom)
1,-5.518,-0.51
2,-4.904,0.42
3,-6.013,-0.43
4,-5.403,0.18
5,-5.592,-0.58
6,-5.259,-0.25
7,-4.379,1.20
8,-5.887,-0.30
9,-5.533,1.24
10,-5.918,-0.33
11,-5.049,0.54
12,-5.999,-0.41